## Na5B8C2 (PBE-GGA)

Data for a relaxed structure of Na5B8C2.

Summary:
M_tot   0.00 Bohr magnetons per cell
ΔE to the lowest computed polymorph   0.14 eV per formula unit
Energy relative to the elements   179 meV per atom

Cell: 11.7859 11.7859 10.1354 Å, 105.87 105.87 13.76°
Closest atoms and distances in Å follow each position.
Fractional positions:
Na (0.0000, 0.0000, 0.0000)  8 B 2.66-2.79, 4 C 2.73, 2 Na 2.82
Na (0.0998, 0.0998, 0.6963)  8 B 2.67-2.84, 4 C 2.69-2.74, 4 Na 2.82-2.97
Na (0.2004, 0.2004, 0.4013)  9 B 2.68-2.85, 3 C 2.69-2.81, 6 Na 2.82-2.99
Na (0.3002, 0.3002, 0.1015)  11 B 2.68-2.92, 2 Na 2.82, 1 C 2.83
Na (0.4000, 0.4000, 0.7973)  11 B 2.69-2.97, 1 C 2.77, 6 Na 2.82-3.01
Na (0.5000, 0.5000, 0.5000)  10 B 2.70-2.85, 2 C 2.78, 6 Na 2.82-2.97
Na (0.6000, 0.6000, 0.2027)  11 B 2.69-2.97, 1 C 2.77, 6 Na 2.82-3.01
Na (0.6998, 0.6998, 0.8985)  11 B 2.68-2.92, 2 Na 2.82, 1 C 2.83
Na (0.7996, 0.7996, 0.5987)  9 B 2.68-2.85, 3 C 2.69-2.81, 6 Na 2.82-2.99
Na (0.9002, 0.9002, 0.3037)  8 B 2.67-2.84, 4 C 2.69-2.74, 4 Na 2.82-2.97
B (0.0148, 0.0148, 0.2807)  2 C 1.64, 1 B 1.74
B (0.0808, 0.0808, 0.4127)  3 B 1.74-1.76
B (0.1174, 0.1174, 0.9847)  3 B 1.66-1.80
B (0.1801, 0.1801, 0.1109)  3 B 1.66-1.81
B (0.2119, 0.2119, 0.6732)  2 C 1.63, 1 B 1.72
B (0.2773, 0.2773, 0.8035)  3 B 1.72-1.81
B (0.3791, 0.3791, 0.5083)  1 C 1.58, 2 B 1.76
B (0.4250, 0.4250, 0.1008)  1 C 1.54
B (0.5750, 0.5750, 0.8992)  1 C 1.54
B (0.6209, 0.6209, 0.4917)  1 C 1.58, 2 B 1.76
B (0.7227, 0.7227, 0.1965)  3 B 1.72-1.81
B (0.7881, 0.7881, 0.3268)  2 C 1.63, 1 B 1.72
B (0.8199, 0.8199, 0.8891)  3 B 1.66-1.81
B (0.8826, 0.8826, 0.0153)  3 B 1.66-1.80
B (0.9192, 0.9192, 0.5873)  3 B 1.74-1.76
B (0.9852, 0.9852, 0.7193)  2 C 1.64, 1 B 1.74
C (0.3191, 0.3191, 0.3890)  3 B 1.58-1.63
C (0.4835, 0.4835, 0.2175)  3 B 1.54-1.64
C (0.5165, 0.5165, 0.7825)  3 B 1.54-1.64
C (0.6809, 0.6809, 0.6110)  3 B 1.58-1.63

## Na2B3C (PBE-GGA)

Data for a relaxed structure of Na2B3C.

Summary:
M_tot   0.00 Bohr magnetons per cell
ΔE to the lowest computed polymorph   0.12 eV per formula unit
Energy relative to the elements   153 meV per atom

Cell: 9.1235 9.1235 13.5391 Å, 112.61 112.61 17.78°
Closest atoms and distances in Å follow each position.
Fractional positions:
Na (0.0000, 0.0000, 0.0000)  11 B 2.69-2.98, 1 C 2.78, 6 Na 2.82-2.99
Na (0.9995, 0.9995, 0.4986)  7 B 2.67-2.79, 5 C 2.67-2.74, 6 Na 2.82-2.95
Na (0.1992, 0.1992, 0.8981)  10 B 2.66-2.82, 4 Na 2.82-2.96, 2 C 2.83-2.88
Na (0.2001, 0.2001, 0.3997)  8 B 2.68-2.82, 4 C 2.71-2.74, 6 Na 2.82-2.94
Na (0.3973, 0.3973, 0.3023)  9 B 2.68-2.86, 3 C 2.71-2.79, 6 Na 2.82-2.97
Na (0.3981, 0.3981, 0.7974)  11 B 2.67-2.90, 6 Na 2.82-2.99, 1 C 2.85
Na (0.5996, 0.5996, 0.6978)  9 B 2.63-2.91, 3 C 2.67-2.77, 2 Na 2.82
Na (0.6017, 0.6017, 0.2017)  8 B 2.65-2.83, 4 C 2.69-2.78, 4 Na 2.82-2.94
Na (0.7966, 0.7966, 0.5965)  7 B 2.64-2.83, 5 C 2.65-2.74, 4 Na 2.82-2.92
Na (0.7989, 0.7989, 0.1006)  10 B 2.68-2.97, 2 C 2.70, 6 Na 2.82-2.98
B (0.0305, 0.0305, 0.8103)  3 B 1.65-1.78
B (0.1631, 0.1631, 0.5766)  3 C 1.63-1.64
B (0.2282, 0.2282, 0.2089)  1 C 1.58, 2 B 1.74
B (0.3692, 0.3692, 0.9897)  3 B 1.68-1.82
B (0.4242, 0.4242, 0.5993)  1 C 1.53
B (0.4336, 0.4336, 0.1183)  3 B 1.68-1.82
B (0.5693, 0.5693, 0.3901)  3 C 1.61-1.64
B (0.5723, 0.5723, 0.8938)  3 B 1.72-1.78
B (0.6377, 0.6377, 0.0263)  2 C 1.62, 1 B 1.72
B (0.7576, 0.7576, 0.7651)  2 C 1.63, 1 B 1.77
B (0.7673, 0.7673, 0.2877)  3 B 1.71-1.74
B (0.8250, 0.8250, 0.9014)  3 B 1.77-1.82
B (0.8333, 0.8333, 0.4192)  2 C 1.63, 1 B 1.71
B (0.9669, 0.9669, 0.6835)  3 B 1.65-1.79
B (0.9775, 0.9775, 0.2067)  1 C 1.55
C (0.0369, 0.0369, 0.3260)  3 B 1.55-1.64
C (0.1677, 0.1677, 0.0874)  3 B 1.58-1.62
C (0.2266, 0.2266, 0.7024)  3 B 1.63-1.64
C (0.3649, 0.3649, 0.4818)  3 B 1.53-1.63
C (0.6316, 0.6316, 0.5139)  3 B 1.61-1.63

## Na5B8C2 (PBE-GGA)

Data for a relaxed structure of Na5B8C2.

Summary:
M_tot   0.00 Bohr magnetons per cell
ΔE to the lowest computed polymorph   0.08 eV per formula unit
Energy relative to the elements   175 meV per atom

Cell: 11.7947 11.7947 10.1454 Å, 105.97 105.97 13.74°
Closest atoms and distances in Å follow each position.
Fractional positions:
Na (0.0000, 0.0000, 0.0000)  10 B 2.66-2.83, 2 Na 2.82, 2 C 2.87
Na (0.0991, 0.0991, 0.6997)  10 B 2.67-2.83, 2 C 2.79-2.84, 6 Na 2.82-2.98
Na (0.1995, 0.1995, 0.4045)  11 B 2.69-2.99, 1 C 2.76, 6 Na 2.82-3.01
Na (0.3006, 0.3006, 0.1034)  12 B 2.69-2.96, 4 Na 2.82-3.01
Na (0.4005, 0.4005, 0.8010)  9 B 2.65-2.94, 3 C 2.69-2.74, 2 Na 2.82
Na (0.5006, 0.5006, 0.5020)  7 B 2.65-2.80, 5 C 2.68-2.74, 6 Na 2.82-2.97
Na (0.5996, 0.5996, 0.2018)  10 B 2.70-2.93, 2 C 2.71, 6 Na 2.82-3.01
Na (0.6978, 0.6978, 0.9003)  10 B 2.70-2.92, 2 C 2.74, 4 Na 2.82-2.98
Na (0.8000, 0.8000, 0.6017)  8 B 2.65-2.81, 4 C 2.73-2.76, 2 Na 2.82
Na (0.9021, 0.9021, 0.3030)  9 B 2.68-2.86, 3 C 2.75-2.77, 4 Na 2.82-2.97
B (0.0786, 0.0786, 0.4110)  1 C 1.58
B (0.1158, 0.1158, 0.9842)  3 B 1.68-1.77
B (0.1795, 0.1795, 0.1115)  3 B 1.68-1.81
B (0.2748, 0.2748, 0.8011)  1 C 1.54
B (0.3274, 0.3274, 0.4063)  1 C 1.56
B (0.4229, 0.4229, 0.0964)  3 B 1.73-1.80
B (0.4882, 0.4882, 0.2287)  2 C 1.63, 1 B 1.73
B (0.5090, 0.5090, 0.7682)  2 C 1.62, 1 B 1.76
B (0.5753, 0.5753, 0.9020)  3 B 1.76-1.77
B (0.6189, 0.6189, 0.4915)  3 B 1.73-1.77
B (0.6847, 0.6847, 0.6218)  2 C 1.64, 1 B 1.73
B (0.7225, 0.7225, 0.1984)  3 B 1.67-1.81
B (0.7857, 0.7857, 0.3245)  3 B 1.67-1.78
B (0.8176, 0.8176, 0.8856)  3 B 1.67-1.80
B (0.8808, 0.8808, 0.0118)  3 B 1.67-1.80
B (0.9176, 0.9176, 0.5854)  3 C 1.61-1.63
C (0.0189, 0.0189, 0.2917)  3 B 1.58-1.63
C (0.2163, 0.2163, 0.6847)  3 B 1.54-1.64
C (0.3867, 0.3867, 0.5235)  3 B 1.56-1.63
C (0.9787, 0.9787, 0.7073)  3 B 1.61-1.62

## Na2B3C (PBE-GGA)

Data for a relaxed structure of Na2B3C.

Summary:
M_tot   0.00 Bohr magnetons per cell
ΔE to the lowest computed polymorph   0.30 eV per formula unit
Energy relative to the elements   183 meV per atom

Cell: 5.8159 8.5954 5.0734 Å, 90.00 90.00 90.00°
Closest atoms and distances in Å follow each position.
Fractional positions:
Na (0.0000, 0.2469, 0.0000)  9 B 2.66-2.83, 3 C 2.72-2.75, 6 Na 2.91-2.94
Na (0.0000, 0.7531, 0.0000)  9 B 2.66-2.83, 3 C 2.72-2.75, 6 Na 2.91-2.94
Na (0.2503, 0.2465, 0.5028)  9 B 2.70-2.78, 3 C 2.71-2.75, 6 Na 2.90-2.94
Na (0.2503, 0.7535, 0.5028)  9 B 2.70-2.78, 3 C 2.71-2.75, 6 Na 2.90-2.94
Na (0.5000, 0.2503, 0.0041)  9 B 2.68-2.79, 3 C 2.72-2.73, 6 Na 2.91-2.93
Na (0.5000, 0.7497, 0.0041)  9 B 2.68-2.79, 3 C 2.72-2.73, 6 Na 2.91-2.93
Na (0.7497, 0.2465, 0.5028)  9 B 2.70-2.78, 3 C 2.71-2.75, 6 Na 2.90-2.94
Na (0.7497, 0.7535, 0.5028)  9 B 2.70-2.78, 3 C 2.71-2.75, 6 Na 2.90-2.94
B (0.0000, 0.0000, 0.3405)  3 B 1.74-1.78
B (0.0000, 0.0000, 0.6840)  2 C 1.67, 1 B 1.74
B (0.0000, 0.5000, 0.3574)  1 C 1.58, 2 B 1.75
B (0.2359, 0.5000, 0.8232)  1 C 1.58, 2 B 1.70-1.73
B (0.2484, 0.5000, 0.1630)  3 B 1.72-1.75
B (0.2623, 0.0000, 0.1597)  2 C 1.64, 1 B 1.78
B (0.5000, 0.0000, 0.6665)  3 C 1.67-1.69
B (0.5000, 0.5000, 0.3400)  3 B 1.72
B (0.5000, 0.5000, 0.6797)  3 B 1.70-1.72
B (0.7377, 0.0000, 0.1597)  2 C 1.64, 1 B 1.78
B (0.7516, 0.5000, 0.1630)  3 B 1.72-1.75
B (0.7641, 0.5000, 0.8232)  1 C 1.58, 2 B 1.70-1.73
C (0.0000, 0.5000, 0.6682)  3 B 1.58
C (0.2548, 0.0000, 0.8371)  3 B 1.64-1.67
C (0.5000, 0.0000, 0.3343)  3 B 1.64-1.69
C (0.7452, 0.0000, 0.8371)  3 B 1.64-1.67

## Na8B9C7 (PBE-GGA)

Data for a relaxed structure of Na8B9C7.

Summary:
M_tot   0.00 Bohr magnetons per cell
ΔE to the lowest computed polymorph   0.36 eV per formula unit
Energy relative to the elements   45 meV per atom

Cell: 8.9202 8.9202 4.9428 Å, 90.00 90.00 142.96°
Closest atoms and distances in Å follow each position.
Fractional positions:
Na (0.1246, 0.3754, 0.4983)  5 C 2.66-2.69, 7 B 2.67-2.72, 6 Na 2.83-2.86
Na (0.1254, 0.8746, 0.0000)  7 B 2.64-2.71, 5 C 2.67-2.69, 6 Na 2.83-2.86
Na (0.3735, 0.6265, 0.9976)  6 B 2.65-2.71, 6 C 2.65-2.70, 6 Na 2.83-2.85
Na (0.3754, 0.1246, 0.4983)  5 C 2.66-2.69, 7 B 2.67-2.72, 6 Na 2.83-2.86
Na (0.6246, 0.8754, 0.4983)  5 C 2.66-2.69, 7 B 2.67-2.72, 6 Na 2.83-2.86
Na (0.6265, 0.3735, 0.9976)  6 B 2.65-2.71, 6 C 2.65-2.70, 6 Na 2.83-2.85
Na (0.8746, 0.1254, 0.0000)  7 B 2.64-2.71, 5 C 2.67-2.69, 6 Na 2.83-2.86
Na (0.8754, 0.6246, 0.4983)  5 C 2.66-2.69, 7 B 2.67-2.72, 6 Na 2.83-2.86
B (0.0000, 0.0000, 0.3184)  2 C 1.63, 1 B 1.69
B (0.0000, 0.0000, 0.6595)  3 B 1.69-1.73
B (0.0000, 0.5000, 0.1658)  3 C 1.64-1.65
B (0.2502, 0.7498, 0.6657)  3 C 1.64-1.65
B (0.2610, 0.2610, 0.8422)  2 C 1.59-1.62, 1 B 1.73
B (0.5000, 0.0000, 0.1658)  3 C 1.64-1.65
B (0.5000, 0.5000, 0.3350)  3 C 1.63
B (0.7390, 0.7390, 0.8422)  2 C 1.59-1.62, 1 B 1.73
B (0.7498, 0.2502, 0.6657)  3 C 1.64-1.65
C (0.0000, 0.5000, 0.8319)  3 B 1.64-1.65
C (0.2505, 0.7495, 0.3320)  3 B 1.64-1.65
C (0.2548, 0.2548, 0.1640)  3 B 1.59-1.63
C (0.5000, 0.0000, 0.8319)  3 B 1.64-1.65
C (0.5000, 0.5000, 0.6641)  3 B 1.62-1.63
C (0.7452, 0.7452, 0.1640)  3 B 1.59-1.63
C (0.7495, 0.2505, 0.3320)  3 B 1.64-1.65

## Na2B3C (PBE-GGA)

Data for a relaxed structure of Na2B3C.

Summary:
M_tot   0.00 Bohr magnetons per cell
ΔE to the lowest computed polymorph   0.09 eV per formula unit
Energy relative to the elements   148 meV per atom

Cell: 9.1318 9.1318 13.5548 Å, 112.60 112.60 17.74°
Closest atoms and distances in Å follow each position.
Fractional positions:
Na (0.0000, 0.0000, 0.0000)  9 B 2.70-2.90, 3 C 2.71, 6 Na 2.82-2.98
Na (0.0004, 0.0004, 0.4923)  9 B 2.66-2.83, 3 C 2.74-2.81, 4 Na 2.82-2.94
Na (0.1992, 0.1992, 0.3950)  8 B 2.64-2.84, 4 C 2.69-2.87, 4 Na 2.82-2.94
Na (0.1992, 0.1992, 0.9020)  10 B 2.68-2.88, 2 C 2.77, 4 Na 2.82-2.95
Na (0.4002, 0.4002, 0.2953)  6 B 2.64-2.71, 6 C 2.66-2.74, 6 Na 2.82-2.94
Na (0.4007, 0.4007, 0.7980)  9 B 2.65-2.86, 2 C 2.79, 2 Na 2.82
Na (0.5994, 0.5994, 0.6960)  12 B 2.69-2.97, 4 Na 2.82-2.99
Na (0.5995, 0.5995, 0.1978)  8 B 2.62-2.80, 4 C 2.66-2.87, 4 Na 2.82-2.94
Na (0.7989, 0.7989, 0.5955)  9 B 2.67-2.85, 2 C 2.77, 4 Na 2.82-2.97
Na (0.7998, 0.7998, 0.1007)  8 B 2.66-2.78, 4 C 2.70-2.79, 6 Na 2.82-2.95
B (0.0265, 0.0265, 0.8021)  3 B 1.65-1.80
B (0.1706, 0.1706, 0.5866)  3 B 1.68-1.81
B (0.1735, 0.1735, 0.0967)  3 B 1.73-1.76
B (0.2343, 0.2343, 0.7162)  3 B 1.68-1.82
B (0.2411, 0.2411, 0.2292)  2 C 1.61, 1 B 1.73
B (0.3689, 0.3689, 0.9885)  3 C 1.62-1.64
B (0.4235, 0.4235, 0.5918)  1 C 1.54
B (0.5586, 0.5586, 0.3634)  2 C 1.63, 1 B 1.77
B (0.5686, 0.5686, 0.8882)  3 B 1.67-1.80
B (0.6273, 0.6273, 0.4988)  3 B 1.77-1.81
B (0.6328, 0.6328, 0.0165)  3 B 1.67-1.76
B (0.7777, 0.7777, 0.8048)  1 C 1.56
B (0.8339, 0.8339, 0.4117)  3 C 1.60-1.62
B (0.9627, 0.9627, 0.1753)  3 C 1.63-1.64
B (0.9641, 0.9641, 0.6753)  3 B 1.65-1.78
C (0.0266, 0.0266, 0.3010)  3 B 1.63-1.64
C (0.3650, 0.3650, 0.4731)  3 B 1.54-1.62
C (0.4309, 0.4309, 0.1129)  3 B 1.62-1.63
C (0.7719, 0.7719, 0.2893)  3 B 1.60-1.61
C (0.8369, 0.8369, 0.9244)  3 B 1.56-1.64

Among the records above, which one has the highest ΔE to the lowest computed polymorph? Na8B9C7

Look up the energy relative to the elements of the fifth one. 45 meV per atom

Which of these has the lowest ΔE to the lowest computed polymorph? number 3